## La4MgCr (GGA-PBE)

Data for an optimized crystal structure of La4MgCr.

a = 6.5612 Å, b = 6.5612 Å, c = 6.5612 Å
α = 60.00°, β = 60.00°, γ = 60.00°
Last column: nearest neighbours and their distance in Å.
Sites, in units of the cell vectors:
1 La 0.8766 0.3745 0.3745  6 La 3.27-3.29
2 La 0.3745 0.3745 0.8766  6 La 3.27-3.29
3 La 0.3745 0.3745 0.3745  6 La 3.27-3.29
4 La 0.3745 0.8766 0.3745  6 La 3.27-3.29
5 Mg 0.7500 0.7500 0.7500  12 La 3.85, 4 Cr 4.02
6 Cr 0.0000 0.0000 0.0000  12 La 3.85, 4 Mg 4.02

Computed properties:
Crystal system: cubic
Total energy, eV per atom: -4.583
Space group: No. 216